AcGaAgPb: optimized geometry, GGA-PBE.

Cell lengths 5.3409, 5.3409, 5.3409 Å; angles 60.00, 60.00, 60.00 degrees
Atoms (fractional coordinates):
Ac1 0.0000 0.0000 0.0000
Ga1 0.7500 0.7500 0.7500
Ag1 0.2500 0.2500 0.2500
Pb1 0.5000 0.5000 0.5000

- formation energy from the elements (eV/atom) = -0.27
- M_tot (μB/f.u.) = 0.00
- D(E_F) (states/eV per atom) = 0.714